Density functional theory data (GGA-PBE) for a relaxed structure of Tl2CrHg.

```
Tl2CrHg
1.0
-0.847 2.798 1.795
-3.252 -1.084 0.148
1.702 -4.120 7.224
Tl Hg Cr
2 1 1
direct
0.000 0.000 0.026
0.000 0.000 0.474
0.500 0.500 0.750
0.500 0.500 0.250
```

Output
- N(E_F): 1.238 states/eV/cell
- Formation enthalpy at 0 K: 1.60 eV per formula unit
- Polymorph energy (0 for the lowest one): 64 meV per atom
- Total magnetization: 4.462 μB/f.u.

***

Density functional theory data (GGA-PBE) for a relaxed structure of Tl2CrHg.

```
Tl2CrHg
1.0
5.973 -0.134 0.034
-2.548 5.404 0.034
0.642 0.989 3.190
Tl Hg Cr
2 1 1
direct
0.000 0.000 0.000
0.500 0.500 0.000
0.000 0.500 0.500
0.500 0.000 0.500
```

Output
- N(E_F): 1.781 states/eV/cell
- Formation enthalpy at 0 K: 1.77 eV per formula unit
- Polymorph energy (0 for the lowest one): 108 meV per atom
- Total magnetization: 4.419 μB/f.u.

***

Density functional theory data (GGA-PBE) for a relaxed structure of Tl2CrHg.

```
Tl2CrHg
1.0
0.000 3.682 3.682
3.682 0.000 3.682
3.682 3.682 0.000
Cr Hg Tl
1 1 2
direct
0.000 0.000 0.000
0.500 0.500 0.500
0.250 0.250 0.250
0.750 0.750 0.750
```

Output
- N(E_F): 1.996 states/eV/cell
- Formation enthalpy at 0 K: 1.74 eV per formula unit
- Polymorph energy (0 for the lowest one): 100 meV per atom
- Total magnetization: 4.269 μB/f.u.

***

Which of these has the lowest N(E_F)?
number 1

***

Look up the N(E_F) of the first one.
1.238 states/eV/cell